LiCaTl2Cd | Alexandria via LeMat-Bulk | GGA-PBE | optimized geometry; crystal system = orthorhombic; offset from the most stable computed form = 0 kJ/mol of formula units; ΔH_f (0 K) = -19.46 kJ per mole of atoms; E = -2.1143 eV/atom
1.0
-0.986 -3.972 -4.822
4.238 -3.637 2.129
-4.732 -3.337 3.717
Ca Tl Li Cd
2 4 2 2
Direct
0.766 0.750 0.500
0.234 0.250 0.500
0.257 0.750 0.266
0.743 0.250 0.734
0.743 0.250 0.266
0.257 0.750 0.734
0.000 0.000 0.000
0.000 0.500 0.000
0.364 0.250 0.000
0.636 0.750 0.000